# 1
{"formula": "Pr2Zn5Au4", "functional": "PBE", "state": "optimized geometry", "final_energy_ev_per_atom": -3.135, "m_tot_mub_per_cell": 0.0, "delta_e_f_mev_per_atom": -495.3, "lattice": [[0.0000, 4.7053, 8.5859], [2.7706, 0.0000, 8.5859], [2.7706, 4.7053, 0.0000]], "species": ["Pr", "Pr", "Zn", "Zn", "Zn", "Zn", "Zn", "Au", "Au", "Au", "Au"], "fractional_positions": [[0.1305, 0.1305, 0.8695], [0.8695, 0.8695, 0.1305], [0.0000, 0.0000, 0.5000], [0.2500, 0.2500, 0.2500], [0.5000, 0.5000, 0.0000], [0.5000, 0.5000, 0.5000], [0.7500, 0.7500, 0.7500], [0.2111, 0.5284, 0.4716], [0.4716, 0.7889, 0.2111], [0.5284, 0.2111, 0.7889], [0.7889, 0.4716, 0.5284]]}

# 2
{"formula": "Cs3TlO3", "functional": "PBE", "state": "optimized geometry", "final_energy_ev_per_atom": -3.894, "de_polymorph_ev_per_atom": 0.011, "m_tot_mub_per_cell": 0.2, "lattice": [[4.0389, -6.3603, 0.0000], [4.0389, 6.3603, 0.0000], [-1.5433, 0.0000, 7.4326]], "species": ["Cs", "Cs", "Cs", "Cs", "Cs", "Cs", "Tl", "Tl", "O", "O", "O", "O", "O", "O"], "fractional_positions": [[0.2018, 0.7982, 0.0000], [0.2550, 0.7450, 0.5000], [0.3655, 0.3655, 0.1572], [0.6345, 0.6345, 0.8428], [0.7450, 0.2550, 0.5000], [0.7982, 0.2018, 0.0000], [0.1783, 0.1783, 0.6544], [0.8217, 0.8217, 0.3456], [0.1024, 0.1024, 0.3491], [0.1600, 0.4436, 0.7735], [0.4436, 0.1600, 0.7735], [0.5564, 0.8400, 0.2265], [0.8400, 0.5564, 0.2265], [0.8976, 0.8976, 0.6509]]}

# 3
{"formula": "La2ErIn", "functional": "PBE", "state": "optimized geometry", "final_energy_ev_per_atom": -4.394, "de_polymorph_ev_per_atom": 0.166, "m_tot_mub_per_cell": 0.4, "delta_e_f_mev_per_atom": -104.7, "lattice": [[1.8429, 1.0640, 11.2647], [-1.8429, 1.0640, 11.2647], [0.0000, -2.1280, 11.2647]], "species": ["La", "La", "Er", "In"], "fractional_positions": [[0.0000, 0.0000, 0.0000], [0.1728, 0.1728, 0.1728], [0.7528, 0.7528, 0.7528], [0.5865, 0.5865, 0.5865]]}

# 4
{"formula": "Bi2PbSe3", "functional": "PBE", "state": "optimized geometry", "final_energy_ev_per_atom": -3.871, "m_tot_mub_per_cell": 0.0, "lattice": [[7.5714, -3.4983, 0.0000], [7.5714, 3.4983, 0.0000], [0.0000, 0.0000, 7.0345]], "species": ["Bi", "Bi", "Bi", "Bi", "Pb", "Pb", "Se", "Se", "Se", "Se", "Se", "Se"], "fractional_positions": [[0.1597, 0.1597, 0.0000], [0.1597, 0.1597, 0.5000], [0.8403, 0.8403, 0.0000], [0.8403, 0.8403, 0.5000], [0.4805, 0.5195, 0.7500], [0.5195, 0.4805, 0.2500], [0.0984, 0.9016, 0.2500], [0.1500, 0.4755, 0.7500], [0.4755, 0.1500, 0.2500], [0.5245, 0.8500, 0.7500], [0.8500, 0.5245, 0.2500], [0.9016, 0.0984, 0.7500]]}

# 5
{"formula": "Fe5Cu2Pd12", "functional": "PBE", "state": "optimized geometry", "final_energy_ev_per_atom": -5.912, "m_tot_mub_per_cell": 19.3, "delta_e_f_mev_per_atom": 26.0, "lattice": [[5.2473, -4.1236, 0.0000], [5.2473, 4.1236, 0.0000], [-1.1221, 0.0000, 6.4953]], "species": ["Fe", "Fe", "Fe", "Fe", "Fe", "Cu", "Cu", "Pd", "Pd", "Pd", "Pd", "Pd", "Pd", "Pd", "Pd", "Pd", "Pd", "Pd", "Pd"], "fractional_positions": [[0.0000, 0.0000, 0.0000], [0.2393, 0.2393, 0.0034], [0.3609, 0.3609, 0.4010], [0.6391, 0.6391, 0.5990], [0.7607, 0.7607, 0.9966], [0.2553, 0.7447, 0.5000], [0.7447, 0.2553, 0.5000], [0.0156, 0.6305, 0.7076], [0.1447, 0.1447, 0.6240], [0.1596, 0.6323, 0.1151], [0.3677, 0.8404, 0.8849], [0.3695, 0.9844, 0.2924], [0.4248, 0.4248, 0.7839], [0.5752, 0.5752, 0.2161], [0.6305, 0.0156, 0.7076], [0.6323, 0.1596, 0.1151], [0.8404, 0.3677, 0.8849], [0.8553, 0.8553, 0.3760], [0.9844, 0.3695, 0.2924]]}

# 6
{"formula": "BaZn2Sn", "functional": "PBE", "state": "optimized geometry", "final_energy_ev_per_atom": -2.376, "m_tot_mub_per_cell": 0.0, "delta_e_f_mev_per_atom": -258.0, "lattice": [[2.3440, 1.3533, 5.8844], [-2.3440, 1.3533, 5.8844], [0.0000, -2.7066, 5.8844]], "species": ["Ba", "Zn", "Zn", "Sn"], "fractional_positions": [[0.0000, 0.0000, 0.0000], [0.2147, 0.2147, 0.2147], [0.7853, 0.7853, 0.7853], [0.5000, 0.5000, 0.5000]]}

# 7
{"formula": "CaTe2Au", "functional": "PBE", "state": "optimized geometry", "final_energy_ev_per_atom": -3.548, "m_tot_mub_per_cell": 0.0, "lattice": [[4.3715, 0.0000, 0.0000], [0.0000, 4.0163, 0.0000], [-2.1615, 0.0000, 6.9909]], "species": ["Ca", "Te", "Te", "Au"], "fractional_positions": [[0.0000, 0.0000, 0.0000], [0.4522, 0.5000, 0.7543], [0.5478, 0.5000, 0.2457], [0.5000, 0.0000, 0.5000]]}

# 8
{"formula": "V3Mo2Os2", "functional": "PBE", "state": "optimized geometry", "final_energy_ev_per_atom": -10.261, "m_tot_mub_per_cell": 0.0, "delta_e_f_mev_per_atom": -50.4, "lattice": [[9.1297, -2.0900, 0.0000], [9.1297, 2.0900, 0.0000], [-0.3161, 0.0000, 2.6713]], "species": ["V", "V", "V", "Mo", "Mo", "Os", "Os"], "fractional_positions": [[0.0000, 0.0000, 0.0000], [0.1356, 0.1356, 0.4080], [0.8644, 0.8644, 0.5920], [0.2852, 0.2852, 0.1821], [0.7148, 0.7148, 0.8179], [0.4321, 0.4321, 0.2586], [0.5679, 0.5679, 0.7414]]}

# 9
{"formula": "Ag2POs", "functional": "PBE", "state": "optimized geometry", "final_energy_ev_per_atom": -5.310, "m_tot_mub_per_cell": 0.0, "delta_e_f_mev_per_atom": 275.9, "lattice": [[4.0601, -1.4144, 0.0000], [4.0601, 1.4144, 0.0000], [-1.8061, 0.0000, 6.7389]], "species": ["Ag", "Ag", "P", "Os"], "fractional_positions": [[0.0000, 0.0000, 0.0000], [0.2351, 0.2351, 0.7235], [0.8716, 0.8716, 0.3652], [0.5890, 0.5890, 0.3663]]}

# 10
{"formula": "Zr2ZnN", "functional": "PBE", "state": "optimized geometry", "final_energy_ev_per_atom": -6.416, "m_tot_mub_per_cell": 0.0, "lattice": [[0.0000, 3.1613, 3.1613], [3.1613, 0.0000, 3.1613], [3.1613, 3.1613, 0.0000]], "species": ["Zr", "Zr", "Zn", "N"], "fractional_positions": [[0.2500, 0.2500, 0.2500], [0.7500, 0.7500, 0.7500], [0.0000, 0.0000, 0.0000], [0.5000, 0.5000, 0.5000]]}

# 11
{"formula": "Zr6IrN", "functional": "PBE", "state": "optimized geometry", "final_energy_ev_per_atom": -9.197, "m_tot_mub_per_cell": 0.0, "lattice": [[5.0908, 0.0000, 0.0000], [-0.0317, 5.7572, 0.0000], [-2.3290, -0.8795, 5.3410]], "species": ["Zr", "Zr", "Zr", "Zr", "Zr", "Zr", "Ir", "N"], "fractional_positions": [[0.0670, 0.2868, 0.1558], [0.2359, 0.8249, 0.4861], [0.3983, 0.3713, 0.7569], [0.6017, 0.6287, 0.2431], [0.7641, 0.1751, 0.5139], [0.9330, 0.7132, 0.8442], [0.5000, 0.0000, 0.0000], [0.0000, 0.5000, 0.5000]]}

# 12
{"formula": "NdY2Ga2Cu2", "functional": "PBE", "state": "optimized geometry", "final_energy_ev_per_atom": -4.958, "m_tot_mub_per_cell": 0.0, "delta_e_f_mev_per_atom": -394.8, "lattice": [[2.2076, 1.2746, 9.3517], [-2.2076, 1.2746, 9.3517], [0.0000, -2.5491, 9.3517]], "species": ["Nd", "Y", "Y", "Ga", "Ga", "Cu", "Cu"], "fractional_positions": [[0.0000, 0.0000, 0.0000], [0.1247, 0.1247, 0.1247], [0.8753, 0.8753, 0.8753], [0.2606, 0.2606, 0.2606], [0.7394, 0.7394, 0.7394], [0.4026, 0.4026, 0.4026], [0.5974, 0.5974, 0.5974]]}

Copy entry 2 word for word.
{"formula": "Cs3TlO3", "functional": "PBE", "state": "optimized geometry", "final_energy_ev_per_atom": -3.894, "de_polymorph_ev_per_atom": 0.011, "m_tot_mub_per_cell": 0.2, "lattice": [[4.0389, -6.3603, 0.0000], [4.0389, 6.3603, 0.0000], [-1.5433, 0.0000, 7.4326]], "species": ["Cs", "Cs", "Cs", "Cs", "Cs", "Cs", "Tl", "Tl", "O", "O", "O", "O", "O", "O"], "fractional_positions": [[0.2018, 0.7982, 0.0000], [0.2550, 0.7450, 0.5000], [0.3655, 0.3655, 0.1572], [0.6345, 0.6345, 0.8428], [0.7450, 0.2550, 0.5000], [0.7982, 0.2018, 0.0000], [0.1783, 0.1783, 0.6544], [0.8217, 0.8217, 0.3456], [0.1024, 0.1024, 0.3491], [0.1600, 0.4436, 0.7735], [0.4436, 0.1600, 0.7735], [0.5564, 0.8400, 0.2265], [0.8400, 0.5564, 0.2265], [0.8976, 0.8976, 0.6509]]}

Q: Number 2 is which compound?
A: Cs3TlO3